(1)
Crystalline Cd2ReAs at its relaxed geometry, computed with PBE.

Results
- Fermi-level density of states: 1.96 states/eV/f.u.
- Theoretical density: 9.5 g/cm3
- Size of the total moment: 0.0 μB/f.u.
- DFT formation energy: 0.333 eV/atom

Cell: 2.9270 2.9270 11.0198 Å, 90.00 90.00 115.99°
Closest atoms and distances in Å follow each position.
Fractional coordinates of all 4 atoms:
Cd1 0.0000 0.0000 0.0000  8 Cd 2.93-3.27
Cd2 0.5000 0.5000 0.2614  8 Cd 2.93-3.27, 2 Re 2.93
Re1 0.0000 0.0000 0.4869  2 As 2.44
As1 0.5000 0.5000 0.6573  2 Re 2.44

(2)
Crystalline LaGa4NiAu2 at its relaxed geometry, computed with PBE.

Results
- Fermi-level density of states: 3.21 states/eV/f.u.
- Theoretical density: 9.6 g/cm3
- Size of the total moment: 0.0 μB/f.u.
- DFT formation energy: -0.419 eV/atom

Cell: 9.3779 9.3779 9.3779 Å, 27.02 27.02 27.02°
Closest atoms and distances in Å follow each position.
Fractional coordinates of all 8 atoms:
La1 0.0000 0.0000 0.0000  6 Ga 3.16, 6 Au 3.53
Ga1 0.1370 0.1370 0.1370  3 Ni 2.65, 4 Au 2.82-2.86
Ga2 0.4034 0.4034 0.4034  3 Au 2.59, 1 Ni 2.62
Ga3 0.5966 0.5966 0.5966  3 Au 2.59, 1 Ni 2.62
Ga4 0.8630 0.8630 0.8630  3 Ni 2.65, 4 Au 2.82-2.86
Ni1 0.5000 0.5000 0.5000  8 Ga 2.62-2.65
Au1 0.2425 0.2425 0.2425  7 Ga 2.59-2.86
Au2 0.7575 0.7575 0.7575  7 Ga 2.59-2.86

(3)
Crystalline Mg2ZnIn2 at its relaxed geometry, computed with PBE.

Results
- Fermi-level density of states: 2.38 states/eV/f.u.
- Energy relative to the lowest polymorph listed for this composition: 0.241 eV/atom
- Theoretical density: 4.5 g/cm3
- Size of the total moment: 0.0 μB/f.u.
- DFT formation energy: 0.204 eV/atom

Cell: 7.6983 7.6983 7.6983 Å, 148.19 148.19 45.61°
Closest atoms and distances in Å follow each position.
Fractional coordinates of all 5 atoms:
Mg1 0.2500 0.7500 0.5000  4 Mg 2.98, 4 In 3.00
Mg2 0.7500 0.2500 0.5000  4 Mg 2.98, 4 In 3.00
Zn1 0.0000 0.0000 0.0000  8 In 3.30
In1 0.4006 0.4006 0.0000  1 In 2.82, 4 Mg 3.00
In2 0.5994 0.5994 0.0000  1 In 2.82, 4 Mg 3.00

(4)
Crystalline TbYAlPd at its relaxed geometry, computed with PBE.

Results
- Fermi-level density of states: 3.72 states/eV/f.u.
- Energy relative to the lowest polymorph listed for this composition: 0.000 eV/atom
- Theoretical density: 6.6 g/cm3
- Size of the total moment: 0.0 μB/f.u.
- DFT formation energy: -0.627 eV/atom

Cell: 4.4475 5.9379 5.9379 Å, 37.40 90.00 90.00°
Closest atoms and distances in Å follow each position.
Fractional coordinates of all 4 atoms:
Tb1 0.0000 0.0000 0.0000  4 Pd 3.05, 3 Al 3.10-3.18
Y1 0.5000 0.2929 0.2929  4 Al 3.05, 3 Pd 3.10-3.18
Al1 0.0000 0.7171 0.7171  2 Pd 2.74, 4 Y 3.05
Pd1 0.5000 0.5755 0.5755  2 Al 2.74, 4 Tb 3.05

(5)
Crystalline K2SiHg at its relaxed geometry, computed with PBE.

Results
- Fermi-level density of states: 3.08 states/eV/f.u.
- Energy relative to the lowest polymorph listed for this composition: 0.362 eV/atom
- Energy relative to the elements, uncorrected: 0.35 eV/atom
- Theoretical density: 3.8 g/cm3
- Size of the total moment: 0.1 μB/f.u.

Cell: 11.6444 11.6444 11.6444 Å, 18.17 18.17 18.17°
Closest atoms and distances in Å follow each position.
Fractional coordinates of all 4 atoms:
K1 0.2427 0.2427 0.2427  3 Si 3.37, 6 K 3.68, 3 Hg 3.77
K2 0.7573 0.7573 0.7573  3 Si 3.37, 6 K 3.68, 3 Hg 3.77
Si1 0.5000 0.5000 0.5000  6 K 3.37, 6 Si 3.68
Hg1 0.0000 0.0000 0.0000  6 Hg 3.68, 6 K 3.77

(6)
Crystalline Ce3Cd2 at its relaxed geometry, computed with PBE.

Results
- Fermi-level density of states: 13.74 states/eV/f.u.
- Theoretical density: 8.2 g/cm3
- Size of the total moment: 2.8 μB/f.u.
- DFT formation energy: -0.084 eV/atom

Cell: 8.5620 8.5620 8.5620 Å, 157.85 146.43 40.59°
Closest atoms and distances in Å follow each position.
Fractional coordinates of all 5 atoms:
Ce1 0.0000 0.0000 0.0000  4 Ce 3.00-3.29
Ce2 0.1865 0.1865 0.0000  3 Ce 3.00-3.29, 4 Cd 3.29
Ce3 0.8135 0.8135 0.0000  3 Ce 3.00-3.29, 4 Cd 3.29
Cd1 0.4019 0.4019 0.0000  3 Cd 3.15-3.29, 9 Ce 3.29-3.46
Cd2 0.5981 0.5981 0.0000  3 Cd 3.15-3.29, 9 Ce 3.29-3.46

(7)
Crystalline TbZnAs at its relaxed geometry, computed with PBE.

Results
- Fermi-level density of states: 1.52 states/eV/f.u.
- Theoretical density: 7.4 g/cm3
- Size of the total moment: 0.0 μB/f.u.
- DFT formation energy: -0.507 eV/atom

Cell: 5.0523 5.0523 5.0523 Å, 133.30 133.30 68.18°
Closest atoms and distances in Å follow each position.
Fractional coordinates of all 3 atoms:
Tb1 0.0000 0.0000 0.0000  5 Zn 2.85-3.13, 5 As 2.97-3.08
Zn1 0.6599 0.6599 0.0000  1 As 2.55, 1 Tb 2.85
As1 0.3547 0.3547 0.0000  1 Zn 2.55

(8)
Crystalline Li9Cd4Pd11 at its relaxed geometry, computed with PBE.

Results
- Fermi-level density of states: 7.01 states/eV/f.u.
- Theoretical density: 7.6 g/cm3
- Size of the total moment: 0.0 μB/f.u.
- DFT formation energy: -0.391 eV/atom

Cell: 11.4450 11.4450 2.9623 Å, 90.00 90.00 108.40°
Closest atoms and distances in Å follow each position.
Fractional coordinates of all 24 atoms:
Li1 0.0000 0.0000 0.0000  4 Cd 2.72, 4 Pd 2.92, 2 Li 2.96
Li2 0.1156 0.6553 0.0000  8 Pd 2.62-2.86, 1 Cd 2.75
Li3 0.3031 0.4911 0.0000  8 Pd 2.65-2.67, 3 Li 2.76-2.96
Li4 0.3447 0.8844 0.0000  8 Pd 2.62-2.86, 1 Cd 2.75
Li5 0.4911 0.3031 0.0000  8 Pd 2.65-2.67, 3 Li 2.76-2.96
Li6 0.5089 0.6969 0.0000  8 Pd 2.65-2.67, 3 Li 2.76-2.96
Li7 0.6553 0.1156 0.0000  8 Pd 2.62-2.86, 1 Cd 2.75
Li8 0.6969 0.5089 0.0000  8 Pd 2.65-2.67, 3 Li 2.76-2.96
Li9 0.8844 0.3447 0.0000  8 Pd 2.62-2.86, 1 Cd 2.75
Cd1 0.0782 0.2507 0.0000  2 Li 2.72-2.75, 6 Pd 2.78-2.81, 2 Cd 2.96
Cd2 0.2507 0.0782 0.0000  2 Li 2.72-2.75, 6 Pd 2.78-2.81, 2 Cd 2.96
Cd3 0.7493 0.9218 0.0000  2 Li 2.72-2.75, 6 Pd 2.78-2.81, 2 Cd 2.96
Cd4 0.9218 0.7493 0.0000  2 Li 2.72-2.75, 6 Pd 2.78-2.81, 2 Cd 2.96
Pd1 0.1039 0.4628 0.5000  6 Li 2.62-2.86, 2 Pd 2.77-2.90, 2 Cd 2.78
Pd2 0.1357 0.8643 0.5000  6 Li 2.76-2.92, 4 Cd 2.81, 2 Pd 2.96
Pd3 0.2940 0.2940 0.5000  4 Li 2.67, 3 Pd 2.76-2.96, 4 Cd 2.79
Pd4 0.3137 0.6863 0.5000  8 Li 2.64-2.65, 2 Pd 2.90
Pd5 0.4628 0.1039 0.5000  6 Li 2.62-2.86, 2 Pd 2.77-2.90, 2 Cd 2.78
Pd6 0.5000 0.5000 0.5000  8 Li 2.67, 4 Pd 2.76-2.96
Pd7 0.5372 0.8961 0.5000  6 Li 2.62-2.86, 2 Pd 2.77-2.90, 2 Cd 2.78
Pd8 0.6863 0.3137 0.5000  8 Li 2.64-2.65, 2 Pd 2.90
Pd9 0.7060 0.7060 0.5000  4 Li 2.67, 3 Pd 2.76-2.96, 4 Cd 2.79
Pd10 0.8643 0.1357 0.5000  6 Li 2.76-2.92, 4 Cd 2.81, 2 Pd 2.96
Pd11 0.8961 0.5372 0.5000  6 Li 2.62-2.86, 2 Pd 2.77-2.90, 2 Cd 2.78

- Which of these has the lowest Fermi-level density of states?
  TbZnAs

- What is the formula in the sixth record?
  Ce3Cd2

- What is the size of the total moment in the second record?
  0.0 μB/f.u.

- Number 4 is which compound?
  TbYAlPd